[1]
InTc2Sb (PBE-GGA, optimized geometry); crystal system = orthorhombic; offset from the most stable computed form = 0.396 eV per atom; raw formation energy = 0.49 eV/atom; DFT total energy = -6.407 eV/atom
1.0
-3.765 3.694 0.728
-1.469 0.082 5.118
4.057 0.783 -3.358
Tc In Sb
2 1 1
Direct
0.013 0.013 0.000
0.487 0.487 0.000
0.750 0.250 0.500
0.250 0.750 0.500

[2]
HfAu9 (PBE-GGA, optimized geometry); energy relative to the elements = -0.186 eV/atom; crystal system = monoclinic; DFT total energy = -4.131 eV/atom
1.0
5.126 -0.002 0.044
3.453 3.788 0.044
0.163 0.072 9.395
Au Hf
9 1
Direct
0.601 0.601 0.203
0.701 0.701 0.901
0.092 0.092 0.698
0.000 0.000 0.000
0.908 0.908 0.302
0.299 0.299 0.099
0.201 0.201 0.404
0.399 0.399 0.797
0.799 0.799 0.596
0.500 0.500 0.500

[3]
Ta2FeRe (PBE-GGA, optimized geometry); energy relative to the elements = -0.114 eV/atom; crystal system = orthorhombic; DFT total energy = -11.268 eV/atom
1.0
5.238 0.004 0.001
4.270 3.033 0.001
1.872 0.598 3.970
Fe Re Ta
1 1 2
Direct
0.503 0.503 0.497
0.248 0.248 0.252
0.756 0.756 0.744
0.994 0.994 0.006